Record 1
The following is a DFT calculation (PBE) of a relaxed structure of SrMgCuRh.

Summary:
The total moment is 0.00 μB/f.u. The density of states at the Fermi level is 4.2 states/eV per cell. Its volume is 184.38 Å³ per cell. Its formation enthalpy at 0 K is -0.24 eV per atom. Its symmetry is No. 8. Its theoretical density is 5.01 g/cm³.

Unit cell a=7.7977 b=4.5026 c=5.8563 alpha=90.00 beta=116.27 gamma=90.00
Positions (direct):
Sr1 0.0000 0.0000 0.0000
Sr2 0.5000 0.5000 0.0000
Mg1 0.0044 0.5000 0.5114
Mg2 0.5044 0.0000 0.5114
Cu1 0.3113 0.5000 0.4319
Cu2 0.8113 0.0000 0.4319
Rh1 0.1925 0.0000 0.5758
Rh2 0.6925 0.5000 0.5758

Record 2
The following is a DFT calculation (PBE) of a relaxed structure of Fe2HIrRh.

Summary:
The total moment is 0.00 μB/f.u. The value obtained for the distance to the lowest polymorph of the same formula is 0 meV per atom. The density of states at the Fermi level is 7.9 states/eV per cell. Its volume is 51.78 Å³ per cell. Its symmetry is No. 123. Its theoretical density is 13.08 g/cm³.

Unit cell a=3.7403 b=3.7403 c=3.7015 alpha=90.00 beta=90.00 gamma=90.00
Positions (direct):
Fe1 0.0000 0.5000 0.0000
Fe2 0.5000 0.0000 0.0000
H1 0.0000 0.0000 0.0000
Ir1 0.5000 0.5000 0.5000
Rh1 0.0000 0.0000 0.5000